Entry 1:
# Na2MnFe SCAN PBEsol geometry
data_Na2MnFe
_chemical_formula_sum 'Na8 Mn4 Fe4'
_space_group_name_H-M_alt 'F m -3 m'
_space_group_IT_number 225
_space_group_name_Hall '-F 4 2 3'
_cell_length_a 6.793
_cell_length_b 6.793
_cell_length_c 6.793
_cell_angle_alpha 90.00
_cell_angle_beta 90.00
_cell_angle_gamma 90.00
loop_
_atom_site_label
_atom_site_type_symbol
_atom_site_fract_x
_atom_site_fract_y
_atom_site_fract_z
Na1 Na 0.250 0.250 0.250
Mn1 Mn 0.000 0.000 0.000
Fe1 Fe 0.000 0.000 0.500
# * E_form: 0.82 eV per atom
# * volume: 19.595 A^3/atom

Entry 2:
# MnNb2Fe SCAN PBEsol geometry
data_MnNb2Fe
_chemical_formula_sum 'Mn4 Nb8 Fe4'
_space_group_name_H-M_alt 'F m -3 m'
_space_group_IT_number 225
_space_group_name_Hall '-F 4 2 3'
_cell_length_a 6.070
_cell_length_b 6.070
_cell_length_c 6.070
_cell_angle_alpha 90.00
_cell_angle_beta 90.00
_cell_angle_gamma 90.00
loop_
_atom_site_label
_atom_site_type_symbol
_atom_site_fract_x
_atom_site_fract_y
_atom_site_fract_z
Mn1 Mn 0.000 0.000 0.000
Nb1 Nb 0.250 0.250 0.250
Fe1 Fe 0.000 0.000 0.500
# * E_form: -0.05 eV per atom
# * volume: 13.975 A^3/atom

Entry 3:
# MnNbFe3 SCAN PBEsol geometry
data_MnNbFe3
_chemical_formula_sum 'Mn1 Nb1 Fe3'
_space_group_name_H-M_alt 'P m -3 m'
_space_group_IT_number 221
_space_group_name_Hall '-P 4 2 3'
_cell_length_a 4.077
_cell_length_b 4.077
_cell_length_c 4.077
_cell_angle_alpha 90.00
_cell_angle_beta 90.00
_cell_angle_gamma 90.00
loop_
_atom_site_label
_atom_site_type_symbol
_atom_site_fract_x
_atom_site_fract_y
_atom_site_fract_z
Mn1 Mn 0.000 0.000 0.000
Nb1 Nb 0.500 0.500 0.500
Fe1 Fe 0.000 0.000 0.500
# * E_form: 1.02 eV per atom
# * volume: 13.558 A^3/atom

Entry 4:
# MnNb4FeO12 SCAN PBEsol geometry
data_MnNb4FeO12
_chemical_formula_sum 'Mn2 Nb8 Fe2 O24'
_space_group_name_H-M_alt 'P 21 21 2'
_space_group_IT_number 18
_space_group_name_Hall 'P 2 2ab'
_cell_length_a 5.041
_cell_length_b 14.242
_cell_length_c 5.730
_cell_angle_alpha 90.00
_cell_angle_beta 90.00
_cell_angle_gamma 90.00
loop_
_atom_site_label
_atom_site_type_symbol
_atom_site_fract_x
_atom_site_fract_y
_atom_site_fract_z
Mn1 Mn 0.000 0.000 0.088
Nb1 Nb 0.004 0.660 0.068
Nb2 Nb 0.005 0.840 0.569
Fe1 Fe 0.000 0.500 0.585
O1 O 0.158 0.422 0.861
O2 O 0.164 0.406 0.356
O3 O 0.167 0.078 0.368
O4 O 0.168 0.095 0.859
O5 O 0.175 0.757 0.871
O6 O 0.177 0.745 0.371
# * formation energy from raw total energies: -2.5630 eV per atom
# * volume: 11.428 A^3/atom

Entry 5:
# MnNb2FeSe SCAN PBEsol geometry
data_MnNb2FeSe
_chemical_formula_sum 'Mn1 Nb2 Fe1 Se1'
_space_group_name_H-M_alt 'P 4/m m m'
_space_group_IT_number 123
_space_group_name_Hall '-P 4 2'
_cell_length_a 4.608
_cell_length_b 4.608
_cell_length_c 4.224
_cell_angle_alpha 90.00
_cell_angle_beta 90.00
_cell_angle_gamma 90.00
loop_
_atom_site_label
_atom_site_type_symbol
_atom_site_fract_x
_atom_site_fract_y
_atom_site_fract_z
Mn1 Mn 0.000 0.000 0.000
Nb1 Nb 0.000 0.500 0.500
Fe1 Fe 0.500 0.500 0.500
Se1 Se 0.500 0.500 0.000
# * formation energy from raw total energies: 0.7027 eV per atom
# * volume: 17.943 A^3/atom

Entry 6:
# MnNb2FeSi SCAN PBEsol geometry
data_MnNb2FeSi
_chemical_formula_sum 'Mn1 Nb2 Fe1 Si1'
_space_group_name_H-M_alt 'P 4/m m m'
_space_group_IT_number 123
_space_group_name_Hall '-P 4 2'
_cell_length_a 4.514
_cell_length_b 4.514
_cell_length_c 4.106
_cell_angle_alpha 90.00
_cell_angle_beta 90.00
_cell_angle_gamma 90.00
loop_
_atom_site_label
_atom_site_type_symbol
_atom_site_fract_x
_atom_site_fract_y
_atom_site_fract_z
Mn1 Mn 0.000 0.000 0.000
Nb1 Nb 0.000 0.500 0.500
Fe1 Fe 0.000 0.000 0.500
Si1 Si 0.500 0.500 0.000
# * formation energy from raw total energies: 0.7413 eV per atom
# * volume: 16.734 A^3/atom

Entry 7:
# MnNb2FeW SCAN PBEsol geometry
data_MnNb2FeW
_chemical_formula_sum 'Mn1 Nb2 Fe1 W1'
_space_group_name_H-M_alt 'P 4/m m m'
_space_group_IT_number 123
_space_group_name_Hall '-P 4 2'
_cell_length_a 4.830
_cell_length_b 4.830
_cell_length_c 4.387
_cell_angle_alpha 90.00
_cell_angle_beta 90.00
_cell_angle_gamma 90.00
loop_
_atom_site_label
_atom_site_type_symbol
_atom_site_fract_x
_atom_site_fract_y
_atom_site_fract_z
Mn1 Mn 0.000 0.000 0.000
Nb1 Nb 0.000 0.500 0.500
Fe1 Fe 0.500 0.500 0.000
W1 W 0.500 0.500 0.500
# * E_form: 1.36 eV per atom
# * volume: 20.471 A^3/atom

Entry 8:
# NdMn2Fe10 SCAN PBEsol geometry
data_NdMn2Fe10
_chemical_formula_sum 'Nd2 Mn4 Fe20'
_space_group_name_H-M_alt 'I m m m'
_space_group_IT_number 71
_space_group_name_Hall '-I 2 2'
_cell_length_a 4.582
_cell_length_b 8.187
_cell_length_c 8.268
_cell_angle_alpha 90.00
_cell_angle_beta 90.00
_cell_angle_gamma 90.00
loop_
_atom_site_label
_atom_site_type_symbol
_atom_site_fract_x
_atom_site_fract_y
_atom_site_fract_z
Nd1 Nd 0.000 0.000 0.000
Mn1 Mn 0.000 0.000 0.369
Fe1 Fe 0.000 0.274 0.500
Fe2 Fe 0.000 0.357 0.000
Fe3 Fe 0.000 0.500 0.264
Fe4 Fe 0.250 0.250 0.250
# * E_form: 0.11 eV per atom
# * volume: 11.929 A^3/atom

Entry 9:
# MnFeNi SCAN PBEsol geometry
data_MnFeNi
_chemical_formula_sum 'Mn4 Fe4 Ni4'
_space_group_name_H-M_alt 'F -4 3 m'
_space_group_IT_number 216
_space_group_name_Hall 'F -4 2 3'
_cell_length_a 5.269
_cell_length_b 5.269
_cell_length_c 5.269
_cell_angle_alpha 90.00
_cell_angle_beta 90.00
_cell_angle_gamma 90.00
loop_
_atom_site_label
_atom_site_type_symbol
_atom_site_fract_x
_atom_site_fract_y
_atom_site_fract_z
Mn1 Mn 0.000 0.000 0.000
Fe1 Fe 0.250 0.250 0.250
Ni1 Ni 0.250 0.250 0.750
# * E_form: 0.56 eV per atom
# * volume: 12.188 A^3/atom

Entry 10:
# Mn2FeNi SCAN PBEsol geometry
data_Mn2FeNi
_chemical_formula_sum 'Mn8 Fe4 Ni4'
_space_group_name_H-M_alt 'F m -3 m'
_space_group_IT_number 225
_space_group_name_Hall '-F 4 2 3'
_cell_length_a 5.638
_cell_length_b 5.638
_cell_length_c 5.638
_cell_angle_alpha 90.00
_cell_angle_beta 90.00
_cell_angle_gamma 90.00
loop_
_atom_site_label
_atom_site_type_symbol
_atom_site_fract_x
_atom_site_fract_y
_atom_site_fract_z
Mn1 Mn 0.250 0.250 0.250
Fe1 Fe 0.000 0.000 0.000
Ni1 Ni 0.000 0.000 0.500
# * E_form: -0.15 eV per atom
# * volume: 11.202 A^3/atom
# * energy above the most stable polymorph in this dataset: 0 meV per atom

Which value of volume does entry 3 give?
13.558 A^3/atom

What is the volume in the fifth record?
17.943 A^3/atom

Look up the volume of the third one.
13.558 A^3/atom